1.
# GGA-PBEsol AlMo2As, optimized geometry
data_AlMo2As
_chemical_formula_sum 'Al2 Mo4 As2'
_cell_length_a 5.524
_cell_length_b 8.232
_cell_length_c 2.839
_cell_angle_alpha 90.00
_cell_angle_beta 110.24
_cell_angle_gamma 90.00
_space_group_name_H-M_alt 'C 1 2/m 1'
_space_group_IT_number 12
loop_
_space_group_symop_operation_xyz
'x,y,z'
'-x,-y,-z'
'-x,y,-z'
'x,-y,z'
'x+1/2,y+1/2,z'
'-x+1/2,-y+1/2,-z'
'-x+1/2,y+1/2,-z'
'x+1/2,-y+1/2,z'
loop_
_atom_site_label
_atom_site_fract_x
_atom_site_fract_y
_atom_site_fract_z
_atom_site_occupancy
Al1 0.000 0.000 0.000 1
Mo1 0.250 0.250 0.500 1
As1 0.000 0.500 0.000 1
# Energy above the most stable polymorph in this dataset, eV/atom: 0.112
# Theoretical density, g/cm3: 8.055
# Total DFT energy (no corrections), eV per atom: -8.078
# DOS at the Fermi energy, states/eV/cell: 6.127
# ΔH_f (0 K), meV per atom: 106

=====

2.
# GGA-PBEsol SrNi2Pd, optimized geometry
data_SrNi2Pd
_chemical_formula_sum 'Sr4 Ni8 Pd4'
_cell_length_a 6.334
_cell_length_b 6.334
_cell_length_c 6.334
_cell_angle_alpha 90.00
_cell_angle_beta 90.00
_cell_angle_gamma 90.00
_space_group_name_H-M_alt 'F m -3 m'
_space_group_IT_number 225
_space_group_name_Hall '-F 4 2 3'
loop_
_atom_site_label
_atom_site_fract_x
_atom_site_fract_y
_atom_site_fract_z
_atom_site_occupancy
Sr1 0.000 0.000 0.000 1
Ni1 0.250 0.250 0.250 1
Pd1 0.000 0.000 0.500 1
# Theoretical density, g/cm3: 8.139
# Total DFT energy (no corrections), eV per atom: -4.777
# DOS at the Fermi energy, states/eV/cell: 5.565
# ΔH_f (0 K), meV per atom: 252